# Li4V3Ni2Sn3O16, relaxed, DFT PBE with a Hubbard U
data_Li4V3Ni2Sn3O16
_chemical_formula_sum 'Li4 V3 Ni2 Sn3 O16'
_space_group_name_H-M_alt 'P 1'
_space_group_IT_number 1
_space_group_name_Hall 'P 1'
_cell_length_a 6.0904
_cell_length_b 6.1105
_cell_length_c 9.7837
_cell_angle_alpha 90.09
_cell_angle_beta 90.21
_cell_angle_gamma 119.89
loop_
_atom_site_label
_atom_site_type_symbol
_atom_site_fract_x
_atom_site_fract_y
_atom_site_fract_z
Li1 Li 0.0000 0.0000 0.0000
Li2 Li 0.0011 0.0067 0.5072
Li3 Li 0.3090 0.6940 0.8948
Li4 Li 0.6507 0.3579 0.4007
V1 V 0.1572 0.8513 0.2235
V2 V 0.3291 0.2130 0.7284
V3 V 0.8366 0.6851 0.7151
Ni1 Ni 0.3082 0.6735 0.4978
Ni2 Ni 0.6450 0.3416 0.9962
Sn1 Sn 0.1486 0.3540 0.2201
Sn2 Sn 0.6457 0.8438 0.2183
Sn3 Sn 0.8031 0.1750 0.7176
O1 O 0.0160 0.5407 0.3424
O2 O 0.1414 0.3276 0.6082
O3 O 0.1510 0.8581 0.6183
O4 O 0.3051 0.1670 0.1112
O5 O 0.3088 0.6862 0.1034
O6 O 0.4468 0.9805 0.3379
O7 O 0.4685 0.5376 0.3462
O8 O 0.4821 0.4868 0.8371
O9 O 0.4946 0.0553 0.8417
O10 O 0.6407 0.3538 0.6082
O11 O 0.6690 0.8308 0.6100
O12 O 0.8231 0.1647 0.0985
O13 O 0.8456 0.6948 0.1125
O14 O 0.9362 0.5159 0.8391
O15 O 0.9880 0.0118 0.3246
O16 O 0.9931 0.0143 0.8174
# Raw total energy (eV/atom): -6.26
# Total moment (μB/f.u.): 7.00